Density functional theory data (PBE-GGA) for a geometry-optimized CdFe2Ru structure.

a = 8.878 Å, b = 8.878 Å, c = 8.878 Å
α = 18.02°, β = 18.02°, γ = 18.02°
Element x y z (fractional)
Fe (0.252, 0.252, 0.252)
Fe (0.990, 0.990, 0.990)
Ru (0.510, 0.510, 0.510)
Cd (0.748, 0.748, 0.748)

Values from the calculation:
Space-group type: R3m (160)
Energy in eV per atom: -6.4820
Total magnetization in μB/cell: 5.3